[1]
Density functional theory data (PBE) for crystalline Cs3Cu2SbBr9 at its relaxed geometry.

The magnetic moment comes out at 0.00 Bohr magnetons per cell. Its space group is P-3m1, No. 164. Its formation energy from raw total energies is -987 meV per atom.

a b c (Å): 7.6988 7.6988 9.4806
angles (deg): 90.00 90.00 120.00
Element x y z (fractional)
Cs1 0.0000 0.0000 0.0000
Cs2 0.3333 0.6667 0.6747
Cs3 0.6667 0.3333 0.3253
Cu1 0.3333 0.6667 0.1379
Cu2 0.6667 0.3333 0.8621
Sb1 0.0000 0.0000 0.5000
Br1 0.0000 0.5000 0.0000
Br2 0.1717 0.3434 0.3273
Br3 0.1717 0.8283 0.3273
Br4 0.3434 0.1717 0.6727
Br5 0.5000 0.0000 0.0000
Br6 0.5000 0.5000 0.0000
Br7 0.6566 0.8283 0.3273
Br8 0.8283 0.1717 0.6727
Br9 0.8283 0.6566 0.6727

---

[2]
Density functional theory data (PBE) for crystalline CsCuSbBr6 at its relaxed geometry.

The magnetic moment comes out at 0.00 Bohr magnetons per cell. Its space group is P1, No. 1. Its formation energy from raw total energies is -768 meV per atom.

a b c (Å): 7.0065 7.0067 7.5393
angles (deg): 101.90 101.85 102.01
Element x y z (fractional)
Cs1 0.0000 0.0000 0.0000
Cu1 0.1985 0.8026 0.5006
Sb1 0.5500 0.4502 0.5001
Br1 0.2395 0.5619 0.2391
Br2 0.2447 0.1657 0.5640
Br3 0.4388 0.7612 0.7617
Br4 0.5781 0.1704 0.2214
Br5 0.8292 0.4217 0.7789
Br6 0.8349 0.7554 0.4366

---

[3]
Density functional theory data (PBE) for crystalline CsCu2SbBr6 at its relaxed geometry.

The magnetic moment comes out at 0.00 Bohr magnetons per cell. Its space group is P1, No. 1. Its formation energy from raw total energies is -704 meV per atom.

a b c (Å): 7.4112 7.4127 9.2422
angles (deg): 90.04 113.60 119.97
Element x y z (fractional)
Cs1 0.0000 0.0000 0.0000
Cu1 0.4542 0.2263 0.6818
Cu2 0.5455 0.7727 0.3189
Sb1 0.9995 0.4997 0.5000
Br1 0.1725 0.2745 0.7033
Br2 0.1938 0.4697 0.2959
Br3 0.4281 0.8972 0.7041
Br4 0.5715 0.1020 0.2963
Br5 0.8044 0.5302 0.7032
Br6 0.8273 0.7255 0.2969

---

[4]
Density functional theory data (PBE) for crystalline CsScCu2Br8 at its relaxed geometry.

The magnetic moment comes out at 2.09 Bohr magnetons per cell. Its space group is C2/m, No. 12. Its formation energy from raw total energies is -950 meV per atom.

a b c (Å): 6.5553 6.5553 10.5061
angles (deg): 95.97 95.97 70.70
Element x y z (fractional)
Cs1 0.0000 0.0000 0.0000
Sc1 0.0000 0.0000 0.5000
Cu1 0.3781 0.3781 0.7041
Cu2 0.6219 0.6219 0.2959
Br1 0.2214 0.7411 0.3119
Br2 0.2489 0.2489 0.5015
Br3 0.2589 0.7786 0.6881
Br4 0.3419 0.3419 0.9180
Br5 0.6581 0.6581 0.0820
Br6 0.7411 0.2214 0.3119
Br7 0.7511 0.7511 0.4985
Br8 0.7786 0.2589 0.6881